Record 1
Here is a geometry-optimized Y2SiSb structure from Alexandria via LeMat-Bulk. Energies are from PBEsol.

density	5.85	Mg/m³
uncorrected formation energy	-0.6577	eV per atom
magnetic moment	0.0	μB per formula unit
N(E_F)	7.34	states/eV/cell
ΔE to the lowest computed polymorph	229	meV per atom

Cell lengths 4.769, 4.769, 8.177 Å; angles 90.00, 90.00, 90.00 degrees
Space group I4/mmm (No. 139)
Asymmetric unit:
Y 0.000 0.500 0.250 x4
Si 0.000 0.000 0.000 x2
Sb 0.000 0.000 0.500 x2

=====

Record 2
Here is a geometry-optimized Y2SiSb structure from Alexandria via LeMat-Bulk. Energies are from PBEsol.

density	5.71	Mg/m³
uncorrected formation energy	-0.8863	eV per atom
magnetic moment	0.0	μB per formula unit
N(E_F)	3.08	states/eV/cell
ΔE to the lowest computed polymorph	0	meV per atom

Cell lengths 10.947, 4.182, 4.169 Å; angles 90.00, 93.00, 90.00 degrees
Space group Cm (No. 8)
Asymmetric unit:
Y 0.000 0.000 0.000 x2
Y 0.227 0.500 0.506 x2
Si 0.260 0.000 0.014 x2
Sb 0.448 0.000 0.491 x2

=====

Record 3
Here is a geometry-optimized YSiSb2 structure from Alexandria via LeMat-Bulk. Energies are from PBEsol.

density	6.02	Mg/m³
uncorrected formation energy	-0.4037	eV per atom
magnetic moment	0.0	μB per formula unit
N(E_F)	1.17	states/eV/cell

Cell lengths 4.102, 4.102, 6.165 Å; angles 90.00, 106.54, 90.00 degrees
Space group Pm (No. 6)
Asymmetric unit:
Y 0.000 0.000 0.000 x1
Si 0.514 0.500 0.220 x1
Sb 0.429 0.500 0.787 x1
Sb 0.825 0.000 0.459 x1

=====

Record 4
Here is a geometry-optimized YSiSb structure from Alexandria via LeMat-Bulk. Energies are from PBEsol.

density	5.33	Mg/m³
uncorrected formation energy	-0.0948	eV per atom
magnetic moment	0.0	μB per formula unit
N(E_F)	3.76	states/eV/cell

Cell lengths 3.8244, 3.8244, 5.8733 Å; angles 90.00, 90.00, 120.00 degrees
Space group P3m1 (No. 156)
Asymmetric unit:
Y 0.0000 0.0000 0.0000 x1
Si 0.6667 0.3333 0.3348 x1
Sb 0.3333 0.6667 0.5985 x1

=====

Record 5
Here is a geometry-optimized Zn2SiSb structure from Alexandria via LeMat-Bulk. Energies are from PBEsol.

density	6.37	Mg/m³
uncorrected formation energy	0.3418	eV per atom
magnetic moment	0.0	μB per formula unit
N(E_F)	3.06	states/eV/cell
ΔE to the lowest computed polymorph	123	meV per atom

Cell lengths 5.610, 7.176, 3.636 Å; angles 90.00, 90.00, 90.00 degrees
Space group Cmmm (No. 65)
Asymmetric unit:
Zn 0.250 0.250 0.000 x4
Si 0.000 0.000 0.500 x2
Sb 0.000 0.500 0.500 x2

=====

Record 6
Here is a geometry-optimized Zn2SiSb structure from Alexandria via LeMat-Bulk. Energies are from PBEsol.

density	6.30	Mg/m³
uncorrected formation energy	0.2189	eV per atom
magnetic moment	0.0	μB per formula unit
N(E_F)	2.83	states/eV/cell
ΔE to the lowest computed polymorph	0	meV per atom

Cell lengths 3.582, 3.792, 10.896 Å; angles 90.00, 90.00, 90.00 degrees
Space group Imm2 (No. 44)
Asymmetric unit:
Zn 0.000 0.000 0.000 x2
Zn 0.000 0.500 0.171 x2
Si 0.000 0.000 0.491 x2
Sb 0.000 0.500 0.792 x2

=====

Record 7
Here is a geometry-optimized Zn2SiSb structure from Alexandria via LeMat-Bulk. Energies are from PBEsol.

density	6.46	Mg/m³
uncorrected formation energy	0.3027	eV per atom
magnetic moment	0.0	μB per formula unit
N(E_F)	1.71	states/eV/cell
ΔE to the lowest computed polymorph	84	meV per atom

Cell lengths 3.427, 3.427, 6.141 Å; angles 90.00, 90.00, 90.00 degrees
Space group P4mm (No. 99)
Asymmetric unit:
Zn 0.000 0.000 0.000 x1
Zn 0.500 0.500 0.228 x1
Si 0.500 0.500 0.815 x1
Sb 0.000 0.000 0.505 x1

=====

Record 8
Here is a geometry-optimized ZnSi2Sb structure from Alexandria via LeMat-Bulk. Energies are from PBEsol.

density	4.95	Mg/m³
uncorrected formation energy	0.2312	eV per atom
magnetic moment	0.0	μB per formula unit
N(E_F)	1.16	states/eV/cell
ΔE to the lowest computed polymorph	0	meV per atom

Cell lengths 3.439, 3.439, 6.908 Å; angles 90.00, 90.00, 90.00 degrees
Space group P4mm (No. 99)
Asymmetric unit:
Zn 0.000 0.000 0.000 x1
Si 0.000 0.000 0.658 x1
Si 0.500 0.500 0.579 x1
Sb 0.500 0.500 0.202 x1

=====

Record 9
Here is a geometry-optimized ZnSi2Sb structure from Alexandria via LeMat-Bulk. Energies are from PBEsol.

density	5.52	Mg/m³
uncorrected formation energy	0.4729	eV per atom
magnetic moment	0.0	μB per formula unit
N(E_F)	5.54	states/eV/cell
ΔE to the lowest computed polymorph	242	meV per atom

Cell lengths 3.0677, 3.0677, 26.9652 Å; angles 90.00, 90.00, 120.00 degrees
Space group R-3m (No. 166, hexagonal axes)
Asymmetric unit:
Zn 0.0000 0.0000 0.0000 x3
Si 0.0000 0.0000 0.2620 x6
Sb 0.0000 0.0000 0.5000 x3

=====

Record 10
Here is a geometry-optimized Zn2Si2Sb structure from Alexandria via LeMat-Bulk. Energies are from PBEsol.

density	5.71	Mg/m³
uncorrected formation energy	0.2713	eV per atom
magnetic moment	0.0	μB per formula unit
N(E_F)	3.57	states/eV/cell

Cell lengths 4.184, 4.184, 10.261 Å; angles 90.00, 90.00, 90.00 degrees
Space group I4/mmm (No. 139)
Asymmetric unit:
Zn 0.000 0.500 0.250 x4
Si 0.000 0.000 0.112 x4
Sb 0.000 0.000 0.500 x2

=====

Record 11
Here is a geometry-optimized ZrSiSb2 structure from Alexandria via LeMat-Bulk. Energies are from PBEsol.

density	4.87	Mg/m³
uncorrected formation energy	0.3001	eV per atom
magnetic moment	0.0	μB per formula unit
N(E_F)	11.21	states/eV/cell

Cell lengths 6.457, 6.457, 11.878 Å; angles 90.00, 90.00, 90.00 degrees
Space group I-42d (No. 122)
Asymmetric unit:
Zr 0.000 0.000 0.000 x4
Si 0.000 0.000 0.500 x4
Sb 0.227 0.250 0.625 x8

=====

Record 12
Here is a geometry-optimized ZrSi2Sb structure from Alexandria via LeMat-Bulk. Energies are from PBEsol.

density	5.98	Mg/m³
uncorrected formation energy	-0.2285	eV per atom
magnetic moment	0.0	μB per formula unit
N(E_F)	1.76	states/eV/cell

Cell lengths 3.624, 3.624, 5.695 Å; angles 90.00, 90.00, 90.00 degrees
Space group P4/mmm (No. 123)
Asymmetric unit:
Zr 0.000 0.000 0.000 x1
Si 0.500 0.500 0.219 x2
Sb 0.000 0.000 0.500 x1